DFT (GGA-PBE) results for a relaxed structure of Cd2RhBr.

The value obtained for the total magnetization is 0.0000 μB per atom. The theoretical density comes out at 7.68 g cm⁻³. For the formation energy without anion corrections, the calculation gives -0.174 eV/atom. Its density of states at the Fermi level is 0.198 states/eV per atom. The excess energy over the best structure of this formula in the dataset is 0 meV per atom.

a = 3.3606 Å, b = 3.3422 Å, c = 7.8432 Å
α = 89.61°, β = 90.00°, γ = 90.00°
Fractional coordinates of all 4 atoms:
Rh 0.5000 0.2500 0.2500
Br 0.5000 0.7500 0.7500
Cd 0.0000 0.7531 0.0514
Cd 0.0000 0.7469 0.4486

DFT (GGA-PBE) results for a relaxed structure of Cd2RhBr.

The value obtained for the total magnetization is 0.0000 μB per atom. The theoretical density comes out at 7.37 g cm⁻³. For the formation energy without anion corrections, the calculation gives -0.074 eV/atom. Its density of states at the Fermi level is 0.521 states/eV per atom. The excess energy over the best structure of this formula in the dataset is 100 meV per atom.

a = 6.9058 Å, b = 6.9058 Å, c = 6.9058 Å
α = 153.04°, β = 141.92°, γ = 47.28°
Fractional coordinates of all 4 atoms:
Rh 0.4968 0.4968 0.0000
Br 0.3177 0.8177 0.5000
Cd 0.0119 0.0119 0.0000
Cd 0.6736 0.1736 0.5000

DFT (GGA-PBE) results for a relaxed structure of CdRh2Br.

The value obtained for the total magnetization is 0.0000 μB per atom. The theoretical density comes out at 8.26 g cm⁻³. For the formation energy without anion corrections, the calculation gives 0.476 eV/atom. Its density of states at the Fermi level is 1.253 states/eV per atom. The excess energy over the best structure of this formula in the dataset is 345 meV per atom.

a = 4.3427 Å, b = 4.3427 Å, c = 9.0232 Å
α = 76.08°, β = 76.08°, γ = 90.00°
Fractional coordinates of all 8 atoms:
Rh 0.5618 0.1250 0.2500
Rh 0.1882 0.6250 0.2500
Rh 0.3750 0.4382 0.7500
Rh 0.8750 0.8118 0.7500
Br 0.5000 0.5000 0.0000
Br 0.2500 0.7500 0.5000
Cd 0.0000 0.0000 0.0000
Cd 0.7500 0.2500 0.5000